[1]
Ag4HgSb: relaxed, PBE-GGA.

a b c (Å): 5.6144 5.6144 5.6144
angles (deg): 60.00 60.00 60.00
Last column: nearest neighbours and their distance in Å.
Atoms (fractional coordinates):
Sb  0.0000  0.0000  0.0000  12 Ag 3.29, 4 Hg 3.44
Ag  0.3752  0.3752  0.8743  6 Ag 2.80-2.81
Ag  0.3752  0.3752  0.3752  6 Ag 2.80-2.81
Ag  0.3752  0.8743  0.3752  6 Ag 2.80-2.81
Hg  0.7500  0.7500  0.7500  12 Ag 3.29, 4 Sb 3.44
Ag  0.8743  0.3752  0.3752  6 Ag 2.80-2.81

## Properties
**Space-group type**: F-43m
**Distance to the lowest polymorph of the same formula**: 78 meV per atom

[2]
La2YHoS6: relaxed, PBE-GGA.

a b c (Å): 7.1355 7.1355 7.4203
angles (deg): 61.26 61.26 60.00
Last column: nearest neighbours and their distance in Å.
Atoms (fractional coordinates):
Y  0.8155  0.8156  0.5532  6 S 2.71-2.78
Ho  0.3160  0.3159  0.0521  6 S 2.70-2.76
La  0.5253  0.5253  0.4243  6 S 2.87-2.95
S  0.4421  0.6916  0.7605  1 Y 2.71, 1 Ho 2.76, 2 La 2.87-2.95
S  0.6916  0.1057  0.7605  1 Y 2.71, 1 Ho 2.76, 2 La 2.87-2.95
S  0.6035  0.1926  0.2596  1 Ho 2.70, 1 Y 2.78, 2 La 2.87-2.95
La  0.0250  0.0250  0.9252  6 S 2.87-2.95
S  0.1056  0.4422  0.7606  1 Y 2.71, 1 Ho 2.76, 2 La 2.87-2.95
S  0.9443  0.6035  0.2597  1 Ho 2.70, 1 Y 2.78, 2 La 2.87-2.95
S  0.1926  0.9442  0.2596  1 Ho 2.70, 1 Y 2.78, 2 La 2.87-2.95

## Properties
**Space-group type**: R3
**DFT total energy**: -6.675 eV per atom

[3]
MnCr2C: relaxed, PBE-GGA.

a b c (Å): 2.7462 2.7462 6.4379
angles (deg): 77.69 77.69 60.00
Last column: nearest neighbours and their distance in Å.
Atoms (fractional coordinates):
Mn  0.4978  0.4978  0.5067  6 Cr 2.50-2.60, 6 Mn 2.75
C  0.6664  0.6664  0.0008  6 Cr 1.93-1.96
Cr  0.0613  0.0613  0.8162  3 C 1.96
Cr  0.2746  0.2746  0.1763  3 C 1.93

## Properties
**Space-group type**: R3m
**Formation energy from the elements**: 28 kJ/mol of formula units

Copy entry 2 word for word.
La2YHoS6: relaxed, PBE-GGA.

a b c (Å): 7.1355 7.1355 7.4203
angles (deg): 61.26 61.26 60.00
Last column: nearest neighbours and their distance in Å.
Atoms (fractional coordinates):
Y  0.8155  0.8156  0.5532  6 S 2.71-2.78
Ho  0.3160  0.3159  0.0521  6 S 2.70-2.76
La  0.5253  0.5253  0.4243  6 S 2.87-2.95
S  0.4421  0.6916  0.7605  1 Y 2.71, 1 Ho 2.76, 2 La 2.87-2.95
S  0.6916  0.1057  0.7605  1 Y 2.71, 1 Ho 2.76, 2 La 2.87-2.95
S  0.6035  0.1926  0.2596  1 Ho 2.70, 1 Y 2.78, 2 La 2.87-2.95
La  0.0250  0.0250  0.9252  6 S 2.87-2.95
S  0.1056  0.4422  0.7606  1 Y 2.71, 1 Ho 2.76, 2 La 2.87-2.95
S  0.9443  0.6035  0.2597  1 Ho 2.70, 1 Y 2.78, 2 La 2.87-2.95
S  0.1926  0.9442  0.2596  1 Ho 2.70, 1 Y 2.78, 2 La 2.87-2.95

## Properties
**Space-group type**: R3
**DFT total energy**: -6.675 eV per atom